VASP calculation (PBE) on an optimized crystal structure of Dy2Y3ErSb2Os.

abc: 4.2092 14.1447 8.1916
angles: 90.00 90.00 90.00
Closest atoms and distances in Å follow each position.
Space group Amm2 (No. 38)
Unique sites:
Dy: 0.0000 0.1181 0.0000 x4  2 Os 2.86, 2 Sb 3.20-3.21
Y: 0.5000 0.0000 0.2788 x2  4 Sb 3.27, 1 Os 3.28, 4 Dy 3.53
Y: 0.5000 0.1976 0.6838 x4  1 Os 3.22, 4 Sb 3.27-3.29, 2 Er 3.51, 2 Dy 3.52
Er: 0.0000 0.0000 0.6456 x2  2 Os 2.84
Sb: 0.0000 0.1660 0.3825 x4  1 Er 3.19, 2 Dy 3.20-3.21, 6 Y 3.27-3.29
Os: 0.5000 0.0000 0.8787 x2  2 Er 2.84, 4 Dy 2.86

Summary:
Mass density ... 8.122 Mg/m³
E ... -117.60 eV per cell

---

VASP calculation (PBE) on an optimized crystal structure of Dy2ErSc3OsSe2.

abc: 3.9129 13.3233 7.6342
angles: 90.00 90.00 90.00
Closest atoms and distances in Å follow each position.
Space group Amm2 (No. 38)
Unique sites:
Dy: 0.0000 0.2013 0.0000 x4  4 Se 3.04-3.05, 1 Os 3.11, 6 Sc 3.32-3.37
Er: 0.0000 0.0000 0.3986 x2  1 Os 3.01, 4 Se 3.05, 4 Sc 3.31
Sc: 0.5000 0.0000 0.0367 x2  2 Os 2.70, 2 Se 2.99
Sc: 0.5000 0.1202 0.6793 x4  2 Os 2.67, 2 Se 2.97-2.99
Os: 0.0000 0.0000 0.7931 x2  6 Sc 2.67-2.70
Se: 0.5000 0.1664 0.2991 x4  3 Sc 2.97-2.99, 4 Dy 3.04-3.05, 2 Er 3.05

Summary:
Mass density ... 8.138 Mg/m³
E ... -117.65 eV per cell

---

VASP calculation (PBE) on an optimized crystal structure of Dy2Er3ScTe2Os.

abc: 4.0176 13.9906 8.2689
angles: 90.00 90.00 90.00
Closest atoms and distances in Å follow each position.
Space group Amm2 (No. 38)
Unique sites:
Dy: 0.0000 0.1172 0.0000 x4  2 Os 2.89, 2 Te 3.21-3.23
Er: 0.5000 0.0000 0.7176 x2  4 Te 3.16, 4 Dy 3.49
Er: 0.5000 0.1910 0.3142 x4  1 Os 2.98, 4 Te 3.24-3.28
Sc: 0.0000 0.0000 0.3620 x2  2 Os 2.64
Te: 0.0000 0.1641 0.6177 x4  1 Sc 3.12, 6 Er 3.16-3.28, 2 Dy 3.21-3.23
Os: 0.5000 0.0000 0.1545 x2  2 Sc 2.64, 4 Dy 2.89

Summary:
Mass density ... 9.412 Mg/m³
E ... -106.46 eV per cell